{"formula": "Zr2CuTc", "functional": "GGA-PBE", "state": "relaxed", "formation_enthalpy_0k_mev_per_atom": 164, "final_energy_ev_per_atom": -7.725, "dos_at_fermi_per_ev_cell": 5.4, "lattice_angstrom": [[-1.276, -2.072, -1.660], [2.895, -0.534, 0.116], [-1.210, -5.006, 7.179]], "species": ["Cu", "Tc", "Zr", "Zr"], "fractional_positions": [[0.000, 0.000, 0.521], [0.500, 0.500, 0.735], [0.000, 0.000, 0.968], [0.500, 0.500, 0.277]]}